1.
La12Sn5Pd3 PBE relaxed; E_tot = -391.5 eV for the cell shown; symmetry = Ia-3d (230); energy of formation = -0.16 eV per atom; V = 3000.99 Å³/cell; density = 5.71 g/cm3
1.0
15.7385 0.0000 0.0000
-5.2462 14.8384 0.0000
-5.2462 -7.4192 12.8504
Sn La Pd
20 48 12
Direct
0.1250 0.7500 0.3750
0.0000 0.5000 0.0000
0.6250 0.8750 0.2500
0.5000 0.0000 0.0000
0.0000 0.0000 0.0000
0.1250 0.3750 0.2500
0.5000 0.5000 0.5000
0.5000 0.5000 0.0000
0.0000 0.5000 0.5000
0.8750 0.2500 0.6250
0.0000 0.0000 0.5000
0.7500 0.1250 0.8750
0.7500 0.6250 0.3750
0.2500 0.3750 0.6250
0.5000 0.0000 0.5000
0.3750 0.1250 0.7500
0.3750 0.2500 0.1250
0.6250 0.7500 0.8750
0.8750 0.6250 0.7500
0.2500 0.8750 0.1250
0.1032 0.9349 0.3686
0.5663 0.2346 0.1314
0.6683 0.4337 0.5651
0.5651 0.9337 0.6683
0.1683 0.1032 0.7346
0.1314 0.3968 0.0651
0.9349 0.8317 0.5663
0.5663 0.3317 0.9349
0.7654 0.4337 0.3686
0.4337 0.6683 0.0651
0.2654 0.8686 0.9337
0.0651 0.1683 0.4337
0.0663 0.4349 0.8317
0.6032 0.8686 0.4349
0.0651 0.8968 0.1314
0.6314 0.5651 0.8968
0.4349 0.0663 0.3317
0.3317 0.7654 0.3968
0.8686 0.2654 0.4337
0.3968 0.1314 0.5651
0.1314 0.7346 0.5663
0.9337 0.3686 0.2654
0.9349 0.1032 0.8686
0.8968 0.0651 0.6314
0.8686 0.6032 0.9349
0.6683 0.2346 0.6032
0.8317 0.8968 0.2654
0.2654 0.3968 0.8317
0.9337 0.5651 0.1683
0.3686 0.4349 0.1032
0.4349 0.3686 0.6032
0.6314 0.0663 0.2346
0.1683 0.0651 0.9337
0.3968 0.2654 0.3317
0.7654 0.3317 0.8968
0.5651 0.6314 0.3968
0.7346 0.6032 0.1683
0.2346 0.5663 0.6314
0.3686 0.9337 0.7654
0.0663 0.6314 0.7346
0.8317 0.9349 0.0663
0.8968 0.8317 0.7654
0.2346 0.6683 0.1032
0.1032 0.1683 0.2346
0.3317 0.5663 0.4349
0.7346 0.1314 0.0663
0.6032 0.7346 0.6683
0.4337 0.7654 0.8686
0.8750 0.7500 0.1250
0.6250 0.2500 0.3750
0.2500 0.6250 0.8750
0.8750 0.1250 0.2500
0.1250 0.8750 0.7500
0.3750 0.7500 0.6250
0.7500 0.8750 0.6250
0.2500 0.1250 0.3750
0.6250 0.3750 0.7500
0.3750 0.6250 0.2500
0.7500 0.3750 0.1250
0.1250 0.2500 0.8750



2.
Dy4Ga2Bi PBE relaxed; E_tot = -64.6 eV for the cell shown; symmetry = I-42d (122); energy of formation = -0.57 eV per atom; V = 377.31 Å³/cell; density = 8.79 g/cm3
1.0
-1.7610 5.8499 -4.9860
0.4526 -6.8084 -3.9520
-5.6258 -0.5355 5.4956
Dy Bi Ga
8 2 4
Direct
0.3918 0.9941 0.2541
0.8584 0.6128 0.1029
0.0054 0.2599 0.3974
0.8626 0.6084 0.6027
0.7400 0.1377 0.7457
0.3876 0.4900 0.2457
0.5100 0.7552 0.8973
0.2442 0.1418 0.7541
0.2500 0.7499 0.5001
0.0001 0.0002 0.0001
0.4966 0.3748 0.6214
0.7535 0.8750 0.3786
0.1250 0.5035 0.8786
0.6249 0.2466 0.1214



The lowest energy of formation belongs to which entry?
Dy4Ga2Bi